YGa2CuAg: optimized geometry, PBE.

Cell and atoms, written as POSCAR:
```
YGa2CuAg
1.0
4.5898 0.0000 0.0000
0.0000 4.5898 0.0000
0.0000 0.0000 5.3033
Y Ga Cu Ag
1 2 1 1
direct
0.0000 0.0000 0.0000 Y
0.0000 0.5000 0.5000 Ga
0.5000 0.0000 0.5000 Ga
0.0000 0.0000 0.5000 Cu
0.5000 0.5000 0.0000 Ag
```

Output
For the formation energy, the calculation gives 0.054 eV per atom. Its space group is P4/mmm (123).